Ag5As2Br12: relaxed, GGA-PBE.

Summary:
total magnetic moment: 0.000 μB/atom
formation energy from raw total energies: -622.0 kJ/mol of formula units

a b c (Å): 7.404 8.143 11.782
angles (deg): 88.13 87.31 71.12
Space group P-1 (No. 2)
Unique sites:
Ag  0.000  0.000  0.000
Ag  0.385  0.371  0.913
Ag  0.492  0.023  0.807
As  0.455  0.269  0.478
Br  0.230  0.159  0.070
Br  0.246  0.107  0.428
Br  0.246  0.555  0.431
Br  0.258  0.304  0.720
Br  0.263  0.681  0.018
Br  0.356  0.776  0.703